No. 1
Cs2LiCdSb: relaxed, PBE.

Properties
* SG: P4/mmm, No. 123
* raw formation energy: -0.189 eV per atom
* M_tot: 0.00 μB/cell

```
Cs2LiCdSb
1.0
6.896 0.000 0.000
0.000 6.896 0.000
0.000 0.000 5.033
Cs Sb Li Cd
2 1 1 1
Direct
0.000 0.500 0.000
0.500 0.000 0.000
0.000 0.000 0.500
0.000 0.000 0.000
0.500 0.500 0.500
```

=====

No. 2
Pr2TlGa: relaxed, PBE.

Properties
* polymorph energy (0 for the lowest one): 0.0000 eV per atom
* SG: P4/mmm, No. 123
* energy relative to the elements: -0.4667 eV/atom
* M_tot: 0.00 μB/cell

```
Pr2TlGa
1.0
-1.285 2.660 2.371
-1.592 -2.684 2.148
6.609 -0.556 4.204
Pr Tl Ga
2 1 1
Direct
0.000 0.000 0.767
0.000 0.000 0.233
0.500 0.500 0.500
0.500 0.500 0.000
```

=====

No. 3
Tl2AsBr: relaxed, PBE.

Properties
* polymorph energy (0 for the lowest one): 0.0745 eV per atom
* SG: P4/mmm, No. 123
* raw formation energy: -0.109 eV per atom
* M_tot: 0.00 μB/cell

```
Tl2AsBr
1.0
3.606 0.005 0.000
-0.004 3.606 0.000
0.000 0.000 8.809
Tl As Br
2 1 1
Direct
0.000 0.000 0.002
0.000 0.000 0.498
0.500 0.500 0.250
0.500 0.500 0.750
```

=====

No. 4
NbBr3O: relaxed, PBE.

Properties
* SG: Pm-3m, No. 221
* raw formation energy: 0.262 eV per atom
* M_tot: 0.00 μB/cell

```
NbBr3O
1.0
5.098 0.000 0.000
0.000 5.098 0.000
0.000 0.000 5.098
Nb O Br
1 1 3
Direct
0.000 0.000 0.000
0.500 0.500 0.500
0.000 0.500 0.000
0.000 0.000 0.500
0.500 0.000 0.000
```

=====

No. 5
KInNCl: relaxed, PBE.

Properties
* polymorph energy (0 for the lowest one): 0.1357 eV per atom
* SG: Pm, No. 6
* raw formation energy: -0.421 eV per atom
* M_tot: 0.00 μB/cell

```
KInNCl
1.0
-1.927 2.355 -2.941
-2.740 0.679 2.339
3.411 5.603 2.369
K In N Cl
1 1 1 1
Direct
0.070 0.000 0.273
0.575 0.500 0.679
0.577 0.000 0.551
0.565 0.500 0.053
```

=====

No. 6
Ce2Zn3CoCu12: relaxed, PBE.

Properties
* SG: R-3m, No. 166
* energy relative to the elements: 0.1902 eV/atom
* M_tot: 1.12 μB/cell

```
Ce2Zn3CoCu12
1.0
-1.736 4.101 8.511
-3.401 -1.801 8.801
2.522 -0.256 9.265
Ce Zn Co Cu
2 3 1 12
Direct
0.653 0.653 0.653
0.347 0.347 0.347
0.500 0.000 0.000
0.000 0.500 0.000
0.000 0.000 0.500
0.000 0.000 0.000
0.420 0.420 0.811
0.930 0.930 0.349
0.349 0.930 0.930
0.811 0.420 0.420
0.930 0.349 0.930
0.420 0.811 0.420
0.580 0.580 0.189
0.070 0.070 0.651
0.651 0.070 0.070
0.189 0.580 0.580
0.070 0.651 0.070
0.580 0.189 0.580
```

=====

No. 7
NdNi2H8: relaxed, PBE.

Properties
* polymorph energy (0 for the lowest one): 0.0000 eV per atom
* SG: Cmmm, No. 65
* M_tot: 0.00 μB/cell

```
NdNi2H8
1.0
-3.772 0.231 -1.848
-1.906 -1.754 3.675
0.313 4.484 -0.073
Nd Ni H
1 2 8
Direct
0.500 0.000 0.000
0.000 0.327 0.673
0.000 0.673 0.327
0.999 0.976 0.698
0.999 0.698 0.976
0.236 0.500 0.500
0.500 0.681 0.319
0.500 0.319 0.681
0.764 0.500 0.500
0.001 0.302 0.024
0.001 0.024 0.302
```

=====

No. 8
NdHoMgSc: relaxed, PBE.

Properties
* polymorph energy (0 for the lowest one): 0.0000 eV per atom
* SG: P4mm, No. 99
* energy relative to the elements: -0.0031 eV/atom
* M_tot: 0.02 μB/cell

```
NdHoMgSc
1.0
-3.249 -0.964 -1.234
-0.175 -2.598 2.492
-3.803 5.641 5.616
Nd Ho Mg Sc
1 1 1 1
Direct
0.107 0.430 0.589
0.107 0.430 0.092
0.608 0.929 0.332
0.607 0.930 0.847
```

=====

No. 9
Pm4NiSn3: relaxed, PBE.

Properties
* SG: Pmm2, No. 25
* energy relative to the elements: -0.6095 eV/atom
* M_tot: 0.00 μB/cell

```
Pm4NiSn3
1.0
-3.764 -2.308 0.580
1.332 -1.156 4.046
-5.030 9.286 4.310
Pm Ni Sn
4 1 3
Direct
0.500 0.500 0.341
0.000 0.500 0.878
0.000 0.000 0.134
0.500 0.000 0.642
0.500 0.500 0.074
0.000 0.500 0.592
0.000 0.000 0.412
0.500 0.000 0.927
```

=====

No. 10
CuAg2Br2: relaxed, PBE.

Properties
* polymorph energy (0 for the lowest one): 0.0000 eV per atom
* SG: P4/mbm, No. 127
* raw formation energy: 0.217 eV per atom
* M_tot: 0.00 μB/cell

```
CuAg2Br2
1.0
7.293 0.000 0.000
0.000 7.293 0.000
0.000 0.000 4.172
Cu Br Ag
2 4 4
Direct
0.000 0.000 0.000
0.500 0.500 0.000
0.173 0.673 0.500
0.673 0.827 0.500
0.827 0.327 0.500
0.327 0.173 0.500
0.355 0.855 0.000
0.855 0.645 0.000
0.645 0.145 0.000
0.145 0.355 0.000
```

=====

No. 11
LaBeRh: relaxed, PBE.

Properties
* polymorph energy (0 for the lowest one): 0.0000 eV per atom
* SG: P-6m2, No. 187
* energy relative to the elements: -0.5231 eV/atom
* M_tot: 0.00 μB/cell

```
LaBeRh
1.0
-0.869 -0.750 -3.821
-1.647 -2.204 2.890
-3.295 2.739 0.211
Be Rh La
1 1 1
Direct
0.000 0.000 0.833
0.333 0.667 0.833
0.667 0.333 0.333
```

=====

No. 12
CaAcSb: relaxed, PBE.

Properties
* polymorph energy (0 for the lowest one): 0.1132 eV per atom
* SG: F-43m, No. 216
* raw formation energy: -0.606 eV per atom
* M_tot: 0.00 μB/cell

```
CaAcSb
1.0
-0.364 -1.150 -5.308
2.436 -4.440 -1.996
-2.994 -4.229 -1.670
Sb Ac Ca
1 1 1
Direct
0.250 0.250 0.250
0.500 0.500 0.500
0.000 0.000 0.000
```